## Ce5As5N (PBE)

Data for a geometry-optimized Ce5As5N structure.

Summary:
Its uncorrected formation energy is -1.044 eV/atom. Its space-group type is C2/m. The electronic total energy is -6.61 eV per atom. Its size of the total moment is 2.09 μB per cell.

a = 7.1233 Å, b = 7.1233 Å, c = 8.0933 Å
α = 107.09°, β = 107.09°, γ = 48.03°
Element x y z (fractional)
Ce  0.0000  0.0000  0.0000
Ce  0.3431  0.3431  0.6836
Ce  0.3534  0.3534  0.1532
Ce  0.6466  0.6466  0.8468
Ce  0.6569  0.6569  0.3164
As  0.1648  0.1648  0.8329
As  0.1844  0.1844  0.3282
As  0.5000  0.5000  0.5000
As  0.8156  0.8156  0.6718
As  0.8352  0.8352  0.1671
N  0.5000  0.5000  0.0000